# Cr2ReTe

A relaxed structure of Cr2ReTe (GGA-PBE, Alexandria).

Unit cell a=4.4039 b=4.4039 c=4.4039 alpha=60.00 beta=60.00 gamma=60.00
Site moments in Bohr magnetons follow the coordinates.
Atoms (fractional coordinates):
Cr1 0.0000 0.0000 0.0000  -1.35
Cr2 0.7500 0.7500 0.7500  2.38
Re1 0.5000 0.5000 0.5000  -0.27
Te1 0.2500 0.2500 0.2500  0.06

Values from the calculation:
magnetization = 0.93 μB/f.u.
E_tot = -8.22 eV/atom
energy relative to the elements, uncorrected = 1.967 eV per formula unit
density = 11.49 g/cm³